[1]
First-principles (PBE) data for a geometry-optimized LaPm6Sm12 structure, as listed in Alexandria.

energy of formation = 2.6 eV per formula unit
E_tot = -4.60 eV/atom
polymorph energy (0 for the lowest one) = 2.32 eV per formula unit
space-group type = R-3

abc: 8.7105 8.7105 8.7105
angles: 89.07 89.07 89.07
With the nearest neighbours (Å) after each atom.
Element x y z (fractional)
La 0.0000 0.0000 0.0000  6 Pm 3.57, 6 Sm 3.61
Pm 0.0940 0.6935 0.2606  7 Sm 3.39-3.74, 1 La 3.57, 2 Pm 3.60
Pm 0.2606 0.0940 0.6935  7 Sm 3.39-3.74, 1 La 3.57, 2 Pm 3.60
Pm 0.3065 0.7394 0.9060  7 Sm 3.39-3.74, 1 La 3.57, 2 Pm 3.60
Pm 0.6935 0.2606 0.0940  7 Sm 3.39-3.74, 1 La 3.57, 2 Pm 3.60
Pm 0.7394 0.9060 0.3065  7 Sm 3.39-3.74, 1 La 3.57, 2 Pm 3.60
Pm 0.9060 0.3065 0.7394  7 Sm 3.39-3.74, 1 La 3.57, 2 Pm 3.60
Sm 0.0155 0.1998 0.3588  4 Sm 3.47-3.64, 4 Pm 3.57-3.74, 1 La 3.61
Sm 0.1998 0.3588 0.0155  4 Sm 3.47-3.64, 4 Pm 3.57-3.74, 1 La 3.61
Sm 0.2231 0.4618 0.5646  6 Sm 3.34-3.71, 3 Pm 3.39-3.49
Sm 0.3588 0.0155 0.1998  4 Sm 3.47-3.64, 4 Pm 3.57-3.74, 1 La 3.61
Sm 0.4354 0.7769 0.5382  6 Sm 3.34-3.71, 3 Pm 3.39-3.49
Sm 0.4618 0.5646 0.2231  6 Sm 3.34-3.71, 3 Pm 3.39-3.49
Sm 0.5382 0.4354 0.7769  6 Sm 3.34-3.71, 3 Pm 3.39-3.49
Sm 0.5646 0.2231 0.4618  6 Sm 3.34-3.71, 3 Pm 3.39-3.49
Sm 0.6412 0.9845 0.8002  4 Sm 3.47-3.64, 4 Pm 3.57-3.74, 1 La 3.61
Sm 0.7769 0.5382 0.4354  6 Sm 3.34-3.71, 3 Pm 3.39-3.49
Sm 0.8002 0.6412 0.9845  4 Sm 3.47-3.64, 4 Pm 3.57-3.74, 1 La 3.61
Sm 0.9845 0.8002 0.6412  4 Sm 3.47-3.64, 4 Pm 3.57-3.74, 1 La 3.61

---

[2]
First-principles (PBE) data for a geometry-optimized Ac2PmNp3N8 structure, as listed in Alexandria.

E_tot = -9.58 eV/atom
space-group type = R3m
uncorrected formation energy = -15.7 eV/f.u.

abc: 7.2090 7.2090 7.2090
angles: 58.08 58.08 58.08
With the nearest neighbours (Å) after each atom.
Element x y z (fractional)
Ac 0.0000 0.0000 0.0000  4 N 2.49-2.74
Ac 0.3823 0.3823 0.3823  6 N 2.56-2.59
Pm 0.7672 0.7672 0.7672  3 N 2.37
Np 0.3811 0.3811 0.8828  6 N 2.21-2.35
Np 0.3811 0.8828 0.3811  6 N 2.21-2.35
Np 0.8828 0.3811 0.3811  6 N 2.21-2.35
N 0.1338 0.1338 0.5682  2 Np 2.21
N 0.1338 0.5682 0.1338  2 Np 2.21
N 0.1529 0.1529 0.1529  3 Np 2.30
N 0.1799 0.6357 0.6357  2 Np 2.26, 1 Pm 2.37
N 0.5682 0.1338 0.1338  2 Np 2.21
N 0.6145 0.6145 0.6145  3 Np 2.35
N 0.6357 0.1799 0.6357  2 Np 2.26, 1 Pm 2.37
N 0.6357 0.6357 0.1799  2 Np 2.26, 1 Pm 2.37

---

[3]
First-principles (PBE) data for a geometry-optimized Cs4RbHg2 structure, as listed in Alexandria.

energy of formation = -0.8 eV per formula unit
E_tot = -0.82 eV/atom
polymorph energy (0 for the lowest one) = 0.00 eV per formula unit
space-group type = R-3m

abc: 13.5276 13.5276 13.5276
angles: 28.87 28.87 28.87
With the nearest neighbours (Å) after each atom.
Element x y z (fractional)
Cs 0.0996 0.0996 0.0996  3 Hg 4.08
Cs 0.2987 0.2987 0.2987  4 Hg 4.00-4.11
Cs 0.7013 0.7013 0.7013  4 Hg 4.00-4.11
Cs 0.9004 0.9004 0.9004  3 Hg 4.08
Rb 0.5000 0.5000 0.5000  2 Hg 3.82
Hg 0.4017 0.4017 0.4017  1 Rb 3.82, 7 Cs 4.00-4.11
Hg 0.5983 0.5983 0.5983  1 Rb 3.82, 7 Cs 4.00-4.11

---

[4]
First-principles (PBE) data for a geometry-optimized Sr3LiPd structure, as listed in Alexandria.

energy of formation = -1.3 eV per formula unit
E_tot = -2.69 eV/atom
polymorph energy (0 for the lowest one) = 0.06 eV per formula unit
space-group type = P1

abc: 4.4049 8.8423 10.2628
angles: 110.49 102.30 90.02
With the nearest neighbours (Å) after each atom.
Element x y z (fractional)
Sr 0.0000 0.0000 0.0000  3 Pd 3.22-3.31, 3 Li 3.43-3.47
Sr 0.1409 0.4736 0.2848  2 Pd 3.15-3.16, 1 Li 3.27
Sr 0.3105 0.9135 0.6137  2 Li 3.76, 2 Sr 4.10
Sr 0.4707 0.3532 0.9431  2 Pd 3.15-3.16, 1 Li 3.27
Sr 0.6134 0.8266 0.2272  3 Pd 3.22-3.32, 3 Li 3.43-3.47
Sr 0.8065 0.4128 0.6137  4 Li 3.51-3.52, 2 Pd 3.63
Li 0.1832 0.1471 0.3660  2 Pd 2.72-2.73
Li 0.4304 0.6792 0.8611  2 Pd 2.73
Pd 0.6139 0.2025 0.2293  2 Li 2.72-2.73
Pd 0.9984 0.6243 0.9980  2 Li 2.73

---

[5]
First-principles (PBE) data for a geometry-optimized Dy3ZnHg3 structure, as listed in Alexandria.

energy of formation = -2.1 eV per formula unit
E_tot = -2.59 eV/atom
space-group type = C2/m

abc: 7.1887 7.1887 6.9429
angles: 91.25 91.25 88.63
With the nearest neighbours (Å) after each atom.
Element x y z (fractional)
Dy 0.0525 0.4330 0.7456  1 Zn 3.03, 5 Hg 3.06-3.23
Dy 0.0863 0.0863 0.2745  1 Zn 3.07, 5 Hg 3.12-3.19
Dy 0.4330 0.0525 0.7456  1 Zn 3.03, 5 Hg 3.06-3.23
Dy 0.5670 0.9475 0.2544  1 Zn 3.03, 5 Hg 3.06-3.23
Dy 0.9137 0.9137 0.7255  1 Zn 3.07, 5 Hg 3.12-3.19
Dy 0.9475 0.5670 0.2544  1 Zn 3.03, 5 Hg 3.06-3.23
Zn 0.3607 0.3607 0.4608  3 Hg 2.74-2.81, 1 Zn 2.90, 3 Dy 3.03-3.07
Zn 0.6393 0.6393 0.5392  3 Hg 2.74-2.81, 1 Zn 2.90, 3 Dy 3.03-3.07
Hg 0.2316 0.7684 0.0000  6 Dy 3.12-3.23, 4 Hg 3.13-3.48
Hg 0.2603 0.7397 0.5000  2 Zn 2.81, 2 Dy 3.06
Hg 0.3542 0.3542 0.0657  1 Zn 2.74
Hg 0.6458 0.6458 0.9343  1 Zn 2.74
Hg 0.7397 0.2603 0.5000  2 Zn 2.81, 2 Dy 3.06
Hg 0.7684 0.2316 0.0000  6 Dy 3.12-3.23, 4 Hg 3.13-3.48

---

[6]
First-principles (PBE) data for a geometry-optimized PmNd2Rh2 structure, as listed in Alexandria.

energy of formation = -2.5 eV per formula unit
E_tot = -6.31 eV/atom
polymorph energy (0 for the lowest one) = 0.00 eV per formula unit
space-group type = Cmcm

abc: 13.7312 13.7312 4.7729
angles: 90.00 90.00 163.71
With the nearest neighbours (Å) after each atom.
Element x y z (fractional)
Pm 0.1345 0.8655 0.7500  1 Rh 2.75
Pm 0.8655 0.1345 0.2500  1 Rh 2.75
Nd 0.2323 0.7677 0.2500  2 Rh 2.79
Nd 0.4485 0.5515 0.7500  7 Rh 2.91-3.12
Nd 0.5515 0.4485 0.2500  7 Rh 2.91-3.12
Nd 0.7677 0.2323 0.7500  2 Rh 2.79
Rh 0.0335 0.9665 0.7500  1 Pm 2.75, 2 Rh 3.00, 2 Nd 3.02
Rh 0.3412 0.6588 0.7500  3 Nd 2.79-2.91
Rh 0.6588 0.3412 0.2500  3 Nd 2.79-2.91
Rh 0.9665 0.0335 0.2500  1 Pm 2.75, 2 Rh 3.00, 2 Nd 3.02